(1)
# CdGePt3

A relaxed structure of CdGePt3 (PBE, Alexandria).

Cell lengths 4.6646, 4.6646, 4.6646 Å; angles 90.00, 90.00, 90.00 degrees
Positions (direct):
Pt  0.0000  0.5000  0.0000
Pt  0.5000  0.0000  0.0000
Cd  0.5000  0.5000  0.5000
Ge  0.0000  0.0000  0.0000
Pt  0.0000  0.0000  0.5000

Calculated values
E above lowest polymorph   2.77 eV/f.u.
Uncorrected energy   -4.481 eV/atom
Formation energy from the elements   250 meV per atom

---

(2)
# LiIn2PbI5

A relaxed structure of LiIn2PbI5 (PBE, Alexandria).

Cell lengths 4.6761, 10.4568, 15.2220 Å; angles 90.00, 90.00, 102.92 degrees
Positions (direct):
In  0.0907  0.1813  0.6646
In  0.1262  0.2524  0.3249
Li  0.5569  0.1138  0.9304
I  0.5062  0.0125  0.2720
I  0.3085  0.6170  0.3849
In  0.9093  0.8187  0.1646
I  0.3629  0.7258  0.0021
I  0.4938  0.9875  0.7720
In  0.8738  0.7476  0.8249
I  0.6371  0.2742  0.5021
I  0.0442  0.0883  0.0294
I  0.2834  0.5668  0.6822
I  0.6915  0.3830  0.8849
Pb  0.2069  0.4138  0.0334
Pb  0.7931  0.5862  0.5334
I  0.7166  0.4332  0.1822
I  0.9558  0.9117  0.5294
Li  0.4431  0.8862  0.4304

Calculated values
Uncorrected energy   -2.776 eV/atom
ΔE_f (raw)   -681.3 meV per atom

---

(3)
# CaVCrSn2

A relaxed structure of CaVCrSn2 (PBE, Alexandria).

Cell lengths 5.0691, 5.1730, 5.0691 Å; angles 90.00, 90.00, 90.00 degrees
Last column: magnetic moment on the atom in μB.
Positions (direct):
Ca  0.0000  0.5000  0.0000  0.04
Cr  0.0000  0.0000  0.0000  2.47
V  0.5000  0.5000  0.5000  -0.47
Sn  0.5000  0.0000  0.0000  -0.10
Sn  0.0000  0.0000  0.5000  -0.06

Calculated values
Uncorrected energy   -4.797 eV/atom
Formation energy from the elements   953 meV per atom

---

(4)
# Nd2ScCl

A relaxed structure of Nd2ScCl (PBE, Alexandria).

Cell lengths 3.6246, 3.6246, 10.2655 Å; angles 79.83, 79.83, 60.00 degrees
Last column: magnetic moment on the atom in μB.
Positions (direct):
Cl  0.0000  0.0000  0.0000  0.00
Nd  0.7429  0.7429  0.7713  0.05
Nd  0.2571  0.2571  0.2287  0.05
Sc  0.5000  0.5000  0.5000  0.29

Calculated values
Uncorrected energy   -5.050 eV/atom
ΔE_f (raw)   -621.9 meV per atom

---

(5)
# Pm2ErTmSe6

A relaxed structure of Pm2ErTmSe6 (PBE, Alexandria).

Cell lengths 7.2819, 7.2819, 7.7231 Å; angles 61.87, 61.87, 60.00 degrees
Positions (direct):
Se  0.9356  0.6011  0.2572
Se  0.2061  0.9355  0.2572
Tm  0.3197  0.3196  0.0411
Pm  0.5190  0.5190  0.4432
Se  0.7055  0.1027  0.7578
Er  0.8192  0.8193  0.5421
Se  0.4340  0.7054  0.7578
Pm  0.0187  0.0187  0.9439
Se  0.1027  0.4341  0.7578
Se  0.6011  0.2062  0.2572

Calculated values
Uncorrected energy   -5.787 eV/atom
ΔE_f (raw)   -1842.5 meV per atom

---

(6)
# TlRePb4

A relaxed structure of TlRePb4 (PBE, Alexandria).

Cell lengths 6.3928, 6.3928, 6.3928 Å; angles 60.00, 60.00, 60.00 degrees
Last column: magnetic moment on the atom in μB.
Positions (direct):
Pb  0.8731  0.3756  0.3756  -0.03
Pb  0.3756  0.3756  0.3756  -0.03
Tl  0.0000  0.0000  0.0000  0.01
Re  0.7500  0.7500  0.7500  3.18
Pb  0.3756  0.3756  0.8731  -0.03
Pb  0.3756  0.8731  0.3756  -0.03

Calculated values
Uncorrected energy   -3.916 eV/atom
Formation energy from the elements   1025 meV per atom

---

(7)
# Sc3Si4Tc2

A relaxed structure of Sc3Si4Tc2 (PBE, Alexandria).

Cell lengths 4.0920, 5.4967, 7.8621 Å; angles 109.80, 90.00, 111.85 degrees
Positions (direct):
Sc  0.3713  0.7427  0.3058
Tc  0.6737  0.3475  0.3466
Si  0.2865  0.5731  0.9317
Tc  0.3263  0.6525  0.6534
Si  0.9115  0.8230  0.5842
Si  0.7135  0.4269  0.0683
Sc  0.6287  0.2573  0.6942
Sc  0.0000  0.0000  0.0000
Si  0.0885  0.1770  0.4158

Calculated values
Uncorrected energy   -7.528 eV/atom
ΔE_f (raw)   -704.1 meV per atom

---

(8)
# Ac3MgPt2O9

A relaxed structure of Ac3MgPt2O9 (PBE, Alexandria).

Cell lengths 5.7512, 5.7512, 7.0653 Å; angles 90.00, 90.00, 120.00 degrees
Positions (direct):
Ac  0.6667  0.3333  0.3391
O  0.1658  0.8342  0.3361
O  0.5000  0.5000  0.0000
O  0.3317  0.1658  0.6639
Pt  0.3333  0.6667  0.1727
Ac  0.0000  0.0000  0.0000
Mg  0.0000  0.0000  0.5000
O  0.6683  0.8342  0.3361
Pt  0.6667  0.3333  0.8273
O  0.8342  0.6683  0.6639
O  0.5000  0.0000  0.0000
O  0.0000  0.5000  0.0000
Ac  0.3333  0.6667  0.6609
O  0.8342  0.1658  0.6639
O  0.1658  0.3317  0.3361

Calculated values
Uncorrected energy   -6.850 eV/atom
ΔE_f (raw)   -2141.6 meV per atom

---

(9)
# Ca2TbCd3

A relaxed structure of Ca2TbCd3 (PBE, Alexandria).

Cell lengths 5.3719, 5.3719, 6.5974 Å; angles 90.00, 90.00, 120.00 degrees
Positions (direct):
Tb  0.0000  0.0000  0.0000
Cd  0.6667  0.3333  0.8414
Cd  0.3333  0.6667  0.1586
Cd  0.0000  0.0000  0.5000
Ca  0.3333  0.6667  0.6653
Ca  0.6667  0.3333  0.3347

Calculated values
E above lowest polymorph   0.00 eV/f.u.
Uncorrected energy   -2.250 eV/atom
Formation energy from the elements   -354 meV per atom

---

(10)
# TaZnBr2

A relaxed structure of TaZnBr2 (PBE, Alexandria).

Cell lengths 5.1051, 5.1051, 3.1993 Å; angles 90.00, 90.00, 104.89 degrees
Positions (direct):
Zn  0.0000  0.5000  0.5000
Br  0.0000  0.0000  0.0000
Br  0.5000  0.5000  0.0000
Ta  0.5000  0.0000  0.5000

Calculated values
E above lowest polymorph   3.21 eV/f.u.
Uncorrected energy   -3.494 eV/atom
ΔE_f (raw)   624.4 meV per atom

---

(11)
# PrTmAl2Au4

A relaxed structure of PrTmAl2Au4 (PBE, Alexandria).

Cell lengths 4.5947, 4.5947, 9.5376 Å; angles 76.06, 76.06, 60.00 degrees
Positions (direct):
Au  0.1177  0.1177  0.6468
Au  0.3937  0.3937  0.8188
Au  0.6063  0.6063  0.1812
Tm  0.5000  0.5000  0.5000
Pr  0.0000  0.0000  0.0000
Al  0.7572  0.7572  0.7285
Au  0.8823  0.8823  0.3532
Al  0.2428  0.2428  0.2715

Calculated values
Uncorrected energy   -4.428 eV/atom
Formation energy from the elements   -697 meV per atom

---

(12)
# Pr2SmTa

A relaxed structure of Pr2SmTa (PBE, Alexandria).

Cell lengths 3.3274, 3.3274, 12.4170 Å; angles 82.30, 82.30, 60.00 degrees
Positions (direct):
Pr  0.0804  0.0804  0.7589
Ta  0.0000  0.0000  0.0000
Pr  0.9196  0.9196  0.2411
Sm  0.5000  0.5000  0.5000

Calculated values
Uncorrected energy   -5.844 eV/atom
Formation energy from the elements   689 meV per atom

---

(13)
# TbDy2HoTe6

A relaxed structure of TbDy2HoTe6 (PBE, Alexandria).

Cell lengths 7.6903, 7.6903, 8.3100 Å; angles 62.44, 62.44, 60.00 degrees
Positions (direct):
Dy  0.0088  0.0087  0.9737
Te  0.2305  0.9177  0.2510
Ho  0.3236  0.3236  0.0292
Te  0.9176  0.6008  0.2510
Te  0.6009  0.2305  0.2510
Te  0.7295  0.1040  0.7520
Dy  0.5093  0.5093  0.4721
Te  0.4146  0.7295  0.7520
Tb  0.8230  0.8230  0.5311
Te  0.1039  0.4146  0.7520

Calculated values
Uncorrected energy   -5.088 eV/atom
ΔE_f (raw)   -1361.7 meV per atom

---

(14)
# Pr5Ni2Au5

A relaxed structure of Pr5Ni2Au5 (PBE, Alexandria).

Cell lengths 4.0940, 8.5155, 8.9074 Å; angles 88.53, 76.71, 76.09 degrees
Positions (direct):
Ni  0.6215  0.5106  0.2464
Pr  0.0000  0.5000  0.5000
Au  0.2868  0.7853  0.6411
Au  0.0692  0.6861  0.1754
Pr  0.3011  0.3052  0.0926
Pr  0.3812  0.9229  0.3146
Pr  0.6188  0.0771  0.6854
Au  0.9308  0.3139  0.8246
Au  0.0000  0.0000  0.0000
Pr  0.6989  0.6948  0.9074
Au  0.7132  0.2147  0.3589
Ni  0.3785  0.4894  0.7536

Calculated values
Uncorrected energy   -4.968 eV/atom
Formation energy from the elements   -647 meV per atom

---

(15)
# Sr4SnAu

A relaxed structure of Sr4SnAu (PBE, Alexandria).

Cell lengths 7.3781, 8.7714, 9.0982 Å; angles 113.86, 108.25, 101.04 degrees
Positions (direct):
Sr  0.3536  0.9428  0.6432
Sr  0.7896  0.7004  0.6432
Au  0.2462  0.9962  0.9924
Sr  0.0133  0.2382  0.8842
Sr  0.6464  0.0572  0.3568
Au  0.7538  0.0038  0.0076
Sr  0.3709  0.6460  0.8842
Sn  0.3851  0.6351  0.2702
Sn  0.6149  0.3649  0.7298
Sr  0.2104  0.2996  0.3568
Sr  0.6291  0.3540  0.1158
Sr  0.9867  0.7618  0.1158

Calculated values
Uncorrected energy   -2.855 eV/atom
Formation energy from the elements   -521 meV per atom

---

(16)
# CaSb2P

A relaxed structure of CaSb2P (PBE, Alexandria).

Cell lengths 6.2191, 6.2191, 6.2191 Å; angles 139.66, 139.66, 58.37 degrees
Positions (direct):
P  0.7500  0.2500  0.5000
Ca  0.2500  0.7500  0.5000
Sb  0.5000  0.5000  0.0000
Sb  0.0000  0.0000  0.0000

Calculated values
Uncorrected energy   -4.157 eV/atom
ΔE_f (raw)   -242.9 meV per atom

---

(17)
# LiPbW2

A relaxed structure of LiPbW2 (PBE, Alexandria).

Cell lengths 2.8179, 2.8179, 9.2073 Å; angles 90.00, 90.00, 90.00 degrees
Positions (direct):
W  0.0000  0.0000  0.0186
Pb  0.5000  0.5000  0.7500
W  0.0000  0.0000  0.4814
Li  0.5000  0.5000  0.2500

Calculated values
Uncorrected energy   -6.706 eV/atom
Formation energy from the elements   1176 meV per atom

---

(18)
# Ca2Zn4HgAu3

A relaxed structure of Ca2Zn4HgAu3 (PBE, Alexandria).

Cell lengths 4.2713, 4.2713, 11.6039 Å; angles 90.00, 90.00, 90.00 degrees
Positions (direct):
Zn  0.5000  0.0000  0.6434
Zn  0.0000  0.0000  0.0000
Au  0.0000  0.5000  0.1374
Zn  0.5000  0.5000  0.0000
Ca  0.5000  0.0000  0.2403
Hg  0.5000  0.5000  0.5000
Au  0.5000  0.0000  0.8626
Au  0.0000  0.0000  0.5000
Zn  0.0000  0.5000  0.3566
Ca  0.0000  0.5000  0.7597

Calculated values
Uncorrected energy   -2.340 eV/atom
Formation energy from the elements   -416 meV per atom

---

(19)
# LaSe2F

A relaxed structure of LaSe2F (PBE, Alexandria).

Cell lengths 6.6096, 4.2880, 7.6037 Å; angles 90.00, 103.38, 90.00 degrees
Positions (direct):
La  0.2446  0.0000  0.8466
Se  0.9955  0.5000  0.5480
Se  0.5836  0.0000  0.2275
Se  0.9101  0.5000  0.8390
Se  0.2271  0.0000  0.2476
F  0.4099  0.5000  0.8379
La  0.5117  0.5000  0.5018
F  0.4910  0.0000  0.6465

Calculated values
E above lowest polymorph   0.02 eV/f.u.
Uncorrected energy   -5.642 eV/atom
ΔE_f (raw)   -2200.3 meV per atom

---

(20)
# PtBr3

A relaxed structure of PtBr3 (PBE, Alexandria).

Cell lengths 5.0047, 5.0047, 5.0047 Å; angles 60.00, 60.00, 60.00 degrees
Positions (direct):
Br  0.7500  0.7500  0.7500
Br  0.0000  0.0000  0.0000
Pt  0.5000  0.5000  0.5000
Br  0.2500  0.2500  0.2500

Calculated values
Uncorrected energy   -1.916 eV/atom
ΔE_f (raw)   848.6 meV per atom